# 1
Here is an optimized crystal structure of Pr3Be2Ge4 from Alexandria. Energies are from GGA-PBE.

abc: 4.1098 5.9866 8.5213
angles: 107.78 90.00 110.08
Last column: nearest neighbours and their distance in Å.
Sites, in units of the cell vectors:
1 Pr 0.0000 0.0000 0.0000  8 Ge 3.09-3.42
2 Ge 0.7166 0.4331 0.0692  1 Be 2.42, 2 Ge 2.60
3 Pr 0.3821 0.7642 0.3144  4 Be 3.07-3.35, 8 Ge 3.09-3.30, 1 Pr 3.40
4 Pr 0.6179 0.2358 0.6856  4 Be 3.07-3.35, 8 Ge 3.09-3.30, 1 Pr 3.40
5 Ge 0.1148 0.2296 0.3974  2 Be 2.32
6 Ge 0.2834 0.5669 0.9308  1 Be 2.42, 2 Ge 2.60
7 Ge 0.8852 0.7704 0.6026  2 Be 2.32
8 Be 0.6854 0.3708 0.3365  3 Ge 2.32-2.42
9 Be 0.3146 0.6292 0.6635  3 Ge 2.32-2.42

Values from the calculation:
**Calculated volume**: 186 Å³ per cell
**Formation energy from the elements**: -0.58 eV/atom

# 2
Here is an optimized crystal structure of PrBe3Ge3 from Alexandria. Energies are from GGA-PBE.

abc: 6.2993 6.2993 6.2993
angles: 90.00 90.00 90.00
Last column: nearest neighbours and their distance in Å.
Sites, in units of the cell vectors:
1 Be 0.5000 0.2500 0.0000  4 Ge 2.23
2 Pr 0.0000 0.0000 0.0000  12 Ge 3.52, 12 Be 3.52
3 Ge 0.0000 0.2500 0.5000  4 Be 2.23
4 Ge 0.7500 0.5000 0.0000  4 Be 2.23
5 Be 0.7500 0.0000 0.5000  4 Ge 2.23
6 Be 0.2500 0.0000 0.5000  4 Ge 2.23
7 Ge 0.5000 0.0000 0.2500  4 Be 2.23
8 Ge 0.2500 0.5000 0.0000  4 Be 2.23
9 Ge 0.0000 0.7500 0.5000  4 Be 2.23
10 Pr 0.5000 0.5000 0.5000  12 Ge 3.52, 12 Be 3.52
11 Ge 0.5000 0.0000 0.7500  4 Be 2.23
12 Be 0.0000 0.5000 0.7500  4 Ge 2.23
13 Be 0.5000 0.7500 0.0000  4 Ge 2.23
14 Be 0.0000 0.5000 0.2500  4 Ge 2.23

Values from the calculation:
**Calculated volume**: 250 Å³ per cell
**Formation energy from the elements**: 0.05 eV/atom

# 3
Here is an optimized crystal structure of Pr2BeGe from Alexandria. Energies are from GGA-PBE.

abc: 4.2930 4.2930 9.5127
angles: 76.96 76.96 60.00
Last column: nearest neighbours and their distance in Å.
Sites, in units of the cell vectors:
1 Pr 0.8911 0.8911 0.3266  3 Ge 2.95, 1 Be 3.00
2 Be 0.0000 0.0000 0.0000  2 Pr 3.00
3 Ge 0.5000 0.5000 0.5000  6 Pr 2.95
4 Pr 0.1089 0.1089 0.6734  3 Ge 2.95, 1 Be 3.00

Values from the calculation:
**Calculated volume**: 147 Å³ per cell
**Formation energy from the elements**: 0.45 eV/atom

# 4
Here is an optimized crystal structure of Pr2BeGe3 from Alexandria. Energies are from GGA-PBE.

abc: 4.3475 4.0965 7.1670
angles: 90.00 90.00 90.00
Last column: nearest neighbours and their distance in Å.
Sites, in units of the cell vectors:
1 Ge 0.5000 0.0000 0.8415  3 Ge 2.51-2.52
2 Be 0.5000 0.5000 0.3235  3 Ge 2.25-2.27
3 Pr 0.0000 0.5000 0.0015  2 Be 3.17, 10 Ge 3.20-3.38
4 Pr 0.0000 0.0000 0.5012  8 Ge 3.10-3.27, 4 Be 3.25
5 Ge 0.5000 0.5000 0.6396  1 Be 2.27, 2 Ge 2.51
6 Ge 0.5000 0.0000 0.1928  2 Be 2.25, 1 Ge 2.52

Values from the calculation:
**Calculated volume**: 128 Å³ per cell
**Distance to the lowest polymorph of the same formula**: 0.133 eV per formula unit
**Formation energy from the elements**: -0.64 eV/atom